Record 1
This record from the Alexandria database describes PtPbBr2 after structural relaxation. The functional is PBE-GGA.

a = 3.669 Å, b = 3.669 Å, c = 7.152 Å
α = 90.00°, β = 90.00°, γ = 90.00°
Space group P4/mmm (No. 123)
One atom of each set of equivalent atoms:
Pt (0.000, 0.000, 0.000)
Pb (0.000, 0.000, 0.500)
Br (0.500, 0.500, 0.232)

Results
- Energy relative to the lowest polymorph listed for this composition: 562.7 meV per atom
- Uncorrected formation energy: 269 meV per atom
- DFT total energy: -12.0 eV for the cell shown

---

Record 2
This record from the Alexandria database describes PtPbBr2 after structural relaxation. The functional is PBE-GGA.

a = 4.487 Å, b = 6.299 Å, c = 8.191 Å
α = 90.00°, β = 90.00°, γ = 90.00°
Space group Cmm2 (No. 35)
One atom of each set of equivalent atoms:
Pt (0.000, 0.000, 0.000)
Pb (0.000, 0.500, 0.223)
Br (0.000, 0.000, 0.468)
Br (0.000, 0.500, 0.852)

Results
- Energy relative to the lowest polymorph listed for this composition: 237.9 meV per atom
- Uncorrected formation energy: -56 meV per atom
- DFT total energy: -26.6 eV for the cell shown

---

Record 3
This record from the Alexandria database describes PtPbBr2 after structural relaxation. The functional is PBE-GGA.

a = 3.817 Å, b = 5.441 Å, c = 10.046 Å
α = 90.00°, β = 90.00°, γ = 90.00°
Space group Immm (No. 71)
One atom of each set of equivalent atoms:
Pt (0.000, 0.000, 0.000)
Pb (0.000, 0.000, 0.500)
Br (0.000, 0.500, 0.320)

Results
- Energy relative to the lowest polymorph listed for this composition: 229.5 meV per atom
- Uncorrected formation energy: -64 meV per atom
- DFT total energy: -26.7 eV for the cell shown

---

Record 4
This record from the Alexandria database describes PtPbBr2 after structural relaxation. The functional is PBE-GGA.

a = 3.7418 Å, b = 3.7418 Å, c = 25.3318 Å
α = 90.00°, β = 90.00°, γ = 120.00°
Space group R-3m (No. 166, hexagonal axes)
One atom of each set of equivalent atoms:
Pt (0.0000, 0.0000, 0.0000)
Pb (0.0000, 0.0000, 0.5000)
Br (0.0000, 0.0000, 0.2687)

Results
- Energy relative to the lowest polymorph listed for this composition: 419.9 meV per atom
- Uncorrected formation energy: 126 meV per atom
- DFT total energy: -37.8 eV for the cell shown

---

Record 5
This record from the Alexandria database describes PtPbBr after structural relaxation. The functional is PBE-GGA.

a = 4.444 Å, b = 5.838 Å, c = 11.877 Å
α = 90.00°, β = 90.00°, γ = 90.00°
Space group Fmm2 (No. 42)
One atom of each set of equivalent atoms:
Pt (0.000, 0.000, 0.000)
Pb (0.000, 0.000, 0.371)
Br (0.000, 0.000, 0.639)

Results
- Energy relative to the lowest polymorph listed for this composition: 151.5 meV per atom
- Uncorrected formation energy: 13 meV per atom
- DFT total energy: -45.5 eV for the cell shown

---

Record 6
This record from the Alexandria database describes PtPbBr2 after structural relaxation. The functional is PBE-GGA.

a = 5.139 Å, b = 5.139 Å, c = 17.434 Å
α = 90.00°, β = 90.00°, γ = 90.00°
Space group I-42d (No. 122)
One atom of each set of equivalent atoms:
Pt (0.000, 0.000, 0.000)
Pb (0.000, 0.000, 0.500)
Br (0.200, 0.250, 0.125)

Results
- Energy relative to the lowest polymorph listed for this composition: 349.2 meV per atom
- Uncorrected formation energy: 56 meV per atom
- DFT total energy: -51.5 eV for the cell shown

---

Record 7
This record from the Alexandria database describes PtPbBr2 after structural relaxation. The functional is PBE-GGA.

a = 3.667 Å, b = 4.188 Å, c = 15.014 Å
α = 90.00°, β = 90.00°, γ = 90.00°
Space group Imm2 (No. 44)
One atom of each set of equivalent atoms:
Pt (0.000, 0.000, 0.000)
Pb (0.000, 0.500, 0.349)
Br (0.000, 0.000, 0.513)
Br (0.000, 0.500, 0.749)

Results
- Energy relative to the lowest polymorph listed for this composition: 126.9 meV per atom
- Uncorrected formation energy: -167 meV per atom
- DFT total energy: -27.5 eV for the cell shown

---

Record 8
This record from the Alexandria database describes PtPbBr after structural relaxation. The functional is PBE-GGA.

a = 6.777 Å, b = 6.777 Å, c = 6.777 Å
α = 90.00°, β = 90.00°, γ = 90.00°
Space group F-43m (No. 216)
One atom of each set of equivalent atoms:
Pt (0.000, 0.000, 0.000)
Pb (0.250, 0.250, 0.250)
Br (0.250, 0.250, 0.750)

Results
- Energy relative to the lowest polymorph listed for this composition: 123.9 meV per atom
- Uncorrected formation energy: -14 meV per atom
- DFT total energy: -45.9 eV for the cell shown

---

Record 9
This record from the Alexandria database describes PtPbBr2 after structural relaxation. The functional is PBE-GGA.

a = 5.660 Å, b = 3.726 Å, c = 5.768 Å
α = 90.00°, β = 114.54°, γ = 90.00°
Space group P2/m (No. 10)
One atom of each set of equivalent atoms:
Pt (0.000, 0.000, 0.000)
Pb (0.500, 0.000, 0.500)
Br (0.180, 0.500, 0.816)

Results
- Energy relative to the lowest polymorph listed for this composition: 252.3 meV per atom
- Uncorrected formation energy: -41 meV per atom
- DFT total energy: -13.3 eV for the cell shown

---

Record 10
This record from the Alexandria database describes PtPbBr after structural relaxation. The functional is PBE-GGA.

a = 3.556 Å, b = 3.556 Å, c = 11.587 Å
α = 90.00°, β = 90.00°, γ = 90.00°
Space group I4mm (No. 107)
One atom of each set of equivalent atoms:
Pt (0.000, 0.000, 0.000)
Pb (0.000, 0.000, 0.378)
Br (0.000, 0.000, 0.655)

Results
- Energy relative to the lowest polymorph listed for this composition: 173.2 meV per atom
- Uncorrected formation energy: 35 meV per atom
- DFT total energy: -22.6 eV for the cell shown

---

Record 11
This record from the Alexandria database describes PtPb3Br after structural relaxation. The functional is PBE-GGA.

a = 5.493 Å, b = 5.493 Å, c = 5.493 Å
α = 90.00°, β = 90.00°, γ = 90.00°
Space group Pm-3m (No. 221)
One atom of each set of equivalent atoms:
Pt (0.000, 0.000, 0.000)
Pb (0.000, 0.000, 0.500)
Br (0.500, 0.500, 0.500)

Results
- Energy relative to the lowest polymorph listed for this composition: 0.0 meV per atom
- Uncorrected formation energy: -35 meV per atom
- DFT total energy: -19.0 eV for the cell shown

---

Record 12
This record from the Alexandria database describes PtPbBr2 after structural relaxation. The functional is PBE-GGA.

a = 3.590 Å, b = 6.756 Å, c = 9.223 Å
α = 90.00°, β = 90.00°, γ = 90.00°
Space group Cmmm (No. 65)
One atom of each set of equivalent atoms:
Pt (0.000, 0.000, 0.000)
Pb (0.000, 0.000, 0.500)
Br (0.000, 0.500, 0.190)

Results
- Energy relative to the lowest polymorph listed for this composition: 340.6 meV per atom
- Uncorrected formation energy: 47 meV per atom
- DFT total energy: -25.8 eV for the cell shown